Entry 1:
Nd12HoTm6 | GGA-PBE | relaxed

a = 9.5498 Å, b = 9.5498 Å, c = 9.5498 Å
α = 110.89°, β = 110.89°, γ = 110.89°
Last column: nearest neighbours and their distance in Å.
Atoms (fractional coordinates):
Nd (0.3720, 0.0575, 0.5805)  4 Tm 3.58-3.67, 8 Nd 3.60-3.64
Nd (0.0575, 0.5805, 0.3720)  4 Tm 3.58-3.67, 8 Nd 3.60-3.64
Nd (0.5805, 0.3720, 0.0575)  4 Tm 3.58-3.67, 8 Nd 3.60-3.64
Nd (0.6280, 0.9425, 0.4195)  4 Tm 3.58-3.67, 8 Nd 3.60-3.64
Nd (0.9425, 0.4195, 0.6280)  4 Tm 3.58-3.67, 8 Nd 3.60-3.64
Nd (0.4195, 0.6280, 0.9425)  4 Tm 3.58-3.67, 8 Nd 3.60-3.64
Nd (0.1042, 0.1571, 0.7372)  1 Ho 3.60, 8 Nd 3.60-3.64, 3 Tm 3.63-3.67
Nd (0.2628, 0.8958, 0.8429)  1 Ho 3.60, 8 Nd 3.60-3.64, 3 Tm 3.63-3.67
Nd (0.8429, 0.2628, 0.8958)  1 Ho 3.60, 8 Nd 3.60-3.64, 3 Tm 3.63-3.67
Nd (0.8958, 0.8429, 0.2628)  1 Ho 3.60, 8 Nd 3.60-3.64, 3 Tm 3.63-3.67
Nd (0.7372, 0.1042, 0.1571)  1 Ho 3.60, 8 Nd 3.60-3.64, 3 Tm 3.63-3.67
Nd (0.1571, 0.7372, 0.1042)  1 Ho 3.60, 8 Nd 3.60-3.64, 3 Tm 3.63-3.67
Ho (0.0000, 0.0000, 0.0000)  6 Tm 3.59, 6 Nd 3.60
Tm (0.2143, 0.3177, 0.4714)  4 Tm 3.52-3.57, 7 Nd 3.58-3.67, 1 Ho 3.59
Tm (0.6823, 0.5286, 0.7857)  4 Tm 3.52-3.57, 7 Nd 3.58-3.67, 1 Ho 3.59
Tm (0.5286, 0.7857, 0.6823)  4 Tm 3.52-3.57, 7 Nd 3.58-3.67, 1 Ho 3.59
Tm (0.7857, 0.6823, 0.5286)  4 Tm 3.52-3.57, 7 Nd 3.58-3.67, 1 Ho 3.59
Tm (0.3177, 0.4714, 0.2143)  4 Tm 3.52-3.57, 7 Nd 3.58-3.67, 1 Ho 3.59
Tm (0.4714, 0.2143, 0.3177)  4 Tm 3.52-3.57, 7 Nd 3.58-3.67, 1 Ho 3.59

energy relative to the lowest polymorph listed for this composition: 0.000 eV per atom
energy of formation from the pure elements: 0.018 eV/atom
SG: R-3 (148)
M_tot: 0.0 Bohr magnetons per cell
D(E_F): 25.88 states/eV per cell



Entry 2:
Ho2Ag3Hg3 | GGA-PBE | relaxed

a = 4.9781 Å, b = 4.9781 Å, c = 8.5896 Å
α = 73.16°, β = 73.16°, γ = 60.00°
Last column: nearest neighbours and their distance in Å.
Atoms (fractional coordinates):
Ho (0.9997, 0.9997, 0.0008)  5 Hg 3.01-3.05, 3 Ag 3.04
Ho (0.5005, 0.5005, 0.4985)  1 Ag 3.03, 7 Hg 3.05-3.08
Ag (0.2511, 0.2511, 0.2466)  5 Hg 2.97-3.05, 3 Ag 3.04
Ag (0.7485, 0.7485, 0.7544)  1 Ag 2.99, 7 Hg 3.05-3.09
Ag (0.6253, 0.6253, 0.1242)  4 Ag 2.99-3.04, 4 Ho 3.03-3.04
Hg (0.1254, 0.1254, 0.6237)  4 Ho 3.05, 4 Ag 3.05-3.06
Hg (0.8758, 0.8758, 0.3725)  4 Ho 3.01-3.05, 4 Ag 3.05-3.09
Hg (0.3736, 0.3736, 0.8793)  4 Ag 2.97-3.05, 4 Ho 3.04-3.08

energy of formation from the pure elements: -0.294 eV/atom
SG: R3m (160)
M_tot: 0.0 Bohr magnetons per cell
D(E_F): 4.64 states/eV per cell



Entry 3:
RbSbO2F | GGA-PBE | relaxed

a = 4.5728 Å, b = 4.5728 Å, c = 4.6722 Å
α = 90.00°, β = 90.00°, γ = 90.00°
Last column: nearest neighbours and their distance in Å.
Atoms (fractional coordinates):
Sb (0.5000, 0.5000, 0.5000)  4 F 3.23, 8 O 3.27
O (0.0000, 0.5000, 0.0000)  2 Rb 2.29
O (0.5000, 0.0000, 0.0000)  2 Rb 2.29
Rb (0.0000, 0.0000, 0.0000)  4 O 2.29, 2 F 2.34
F (0.0000, 0.0000, 0.5000)  2 Rb 2.34

SG: P4/mmm (123)
M_tot: 0.5 Bohr magnetons per cell
uncorrected formation energy: 0.24 eV per atom
D(E_F): 2.49 states/eV per cell



> Look up the M_tot of the second one.

0.0 Bohr magnetons per cell



> Which formula does entry 3 have?

RbSbO2F



> Number 3 is which compound?

RbSbO2F



> Among the records above, which one has the highest D(E_F)?

Nd12HoTm6